Entry 1:
KMn2Cr | PBE | optimized geometry

Unit cell a=3.0360 b=5.2838 c=5.4264 alpha=90.00 beta=90.00 gamma=90.00
With the nearest neighbours (Å) after each atom.
Positions (direct):
Cr1 0.5000 0.0000 0.5000  2 Cr 3.04, 4 K 3.05, 4 Mn 3.11
K1 0.0000 0.5000 0.5000  2 K 3.04, 4 Cr 3.05, 4 Mn 3.11
Mn1 0.0000 0.0000 0.0000  6 Mn 3.04-3.05, 4 Cr 3.11
Mn2 0.5000 0.5000 0.0000  6 Mn 3.04-3.05, 4 K 3.11

* formation energy: 135 kJ per mole of atoms
* DOS(E_F): 4.26 states/eV per cell
* density: 3.83 g/cm3
* crystal system: orthorhombic
* calculated total energy: -5.86 eV per atom
* total magnetization: 12.7 μB per cell



Entry 2:
KMn2Cr | PBE | optimized geometry

Unit cell a=4.0435 b=4.0435 c=7.9235 alpha=85.57 beta=85.57 gamma=42.35
With the nearest neighbours (Å) after each atom.
Positions (direct):
Cr1 0.4788 0.4788 0.6077  3 Mn 2.39-2.45
K1 0.2499 0.2499 0.2522  2 K 2.92
Mn1 0.0213 0.0213 0.8952  3 Mn 2.45-2.49
Mn2 0.7499 0.7499 0.7449  3 Cr 2.39-2.45, 3 Mn 2.45-2.49

* formation energy: 82 kJ per mole of atoms
* DOS(E_F): 4.07 states/eV per cell
* density: 3.84 g/cm3
* crystal system: monoclinic
* calculated total energy: -6.42 eV per atom
* total magnetization: 4.7 μB per cell



Entry 3:
KMnCr4 | PBE | optimized geometry

Unit cell a=5.0287 b=5.0287 c=5.0287 alpha=60.00 beta=60.00 gamma=60.00
With the nearest neighbours (Å) after each atom.
Positions (direct):
K1 0.7500 0.7500 0.7500  12 Cr 2.95, 4 Mn 3.08
Mn1 0.0000 0.0000 0.0000  12 Cr 2.95, 4 K 3.08
Cr1 0.8727 0.3758 0.3758  6 Cr 2.50-2.53
Cr2 0.3758 0.3758 0.8727  6 Cr 2.50-2.53
Cr3 0.3758 0.8727 0.3758  6 Cr 2.50-2.53
Cr4 0.3758 0.3758 0.3758  6 Cr 2.50-2.53

* formation energy: 116 kJ per mole of atoms
* DOS(E_F): 7.51 states/eV per cell
* density: 5.58 g/cm3
* crystal system: cubic
* calculated total energy: -6.93 eV per atom
* total magnetization: 0.5 μB per cell



Entry 4:
K2MnCr | PBE | optimized geometry

Unit cell a=6.9961 b=6.9961 c=6.9961 alpha=149.41 beta=126.75 gamma=62.67
With the nearest neighbours (Å) after each atom.
Positions (direct):
Cr1 0.3131 0.8131 0.5000  2 Mn 2.39
K1 0.0232 0.0232 0.0000  6 K 3.69-4.03, 4 Mn 3.77, 4 Cr 3.93-4.02
K2 0.7232 0.2232 0.5000  6 K 3.69-4.03, 4 Cr 3.79, 4 Mn 3.85-4.07
Mn1 0.4406 0.4406 0.0000  2 Cr 2.39

* formation energy: 83 kJ per mole of atoms
* DOS(E_F): 2.52 states/eV per cell
* density: 2.22 g/cm3
* crystal system: orthorhombic
* calculated total energy: -4.39 eV per atom
* total magnetization: 0.2 μB per cell



Entry 5:
KMn2Cr | PBE | optimized geometry

Unit cell a=4.4659 b=4.4888 c=4.4888 alpha=90.00 beta=90.00 gamma=90.00
With the nearest neighbours (Å) after each atom.
Positions (direct):
Cr1 0.5000 0.5000 0.0000  8 Mn 3.17, 4 K 3.17
K1 0.5000 0.0000 0.5000  8 Mn 3.17, 4 Cr 3.17
Mn1 0.0000 0.0000 0.0000  4 K 3.17, 4 Cr 3.17, 4 Mn 3.17
Mn2 0.0000 0.5000 0.5000  4 Cr 3.17, 4 K 3.17, 4 Mn 3.17

* formation energy: 142 kJ per mole of atoms
* DOS(E_F): 5.14 states/eV per cell
* density: 3.71 g/cm3
* crystal system: tetragonal
* calculated total energy: -5.79 eV per atom
* total magnetization: 12.7 μB per cell



Entry 6:
K3MnCr | PBE | optimized geometry

Unit cell a=6.5925 b=6.5925 c=6.5925 alpha=90.00 beta=90.00 gamma=90.00
With the nearest neighbours (Å) after each atom.
Positions (direct):
Cr1 0.0000 0.0000 0.0000  6 K 3.30
K1 0.0000 0.5000 0.0000  2 Cr 3.30
K2 0.0000 0.0000 0.5000  2 Cr 3.30
K3 0.5000 0.0000 0.0000  2 Cr 3.30
Mn1 0.5000 0.5000 0.5000  12 K 4.66

* formation energy: 115 kJ per mole of atoms
* DOS(E_F): 6.72 states/eV per cell
* density: 1.30 g/cm3
* crystal system: cubic
* calculated total energy: -3.23 eV per atom
* total magnetization: 1.1 μB per cell



Entry 7:
K2MnCr | PBE | optimized geometry

Unit cell a=4.3763 b=4.3763 c=9.5856 alpha=78.77 beta=78.77 gamma=58.93
With the nearest neighbours (Å) after each atom.
Positions (direct):
Cr1 0.2092 0.2092 0.3750  3 Mn 2.51-2.52
K1 0.9550 0.9550 0.0940  3 Mn 3.62-3.67, 3 Cr 3.63-3.65
K2 0.7955 0.7955 0.6559  3 Cr 3.62-3.66, 3 Mn 3.62-3.66
Mn1 0.5404 0.5404 0.3751  3 Cr 2.51-2.52

* formation energy: 73 kJ per mole of atoms
* DOS(E_F): 3.23 states/eV per cell
* density: 2.01 g/cm3
* crystal system: monoclinic
* calculated total energy: -4.50 eV per atom
* total magnetization: 0.6 μB per cell



Entry 8:
KMn2Cr | PBE | optimized geometry

Unit cell a=3.0887 b=3.0887 c=8.6415 alpha=90.00 beta=90.00 gamma=89.95
With the nearest neighbours (Å) after each atom.
Positions (direct):
Cr1 0.0000 0.0000 0.4072  5 Mn 2.54-2.73
K1 0.5000 0.5000 0.7454  4 K 3.09
Mn1 0.0000 0.0000 0.0907  4 Mn 2.61, 1 Cr 2.73
Mn2 0.5000 0.5000 0.2567  4 Cr 2.54, 4 Mn 2.61

* formation energy: 68 kJ per mole of atoms
* DOS(E_F): 2.64 states/eV per cell
* density: 4.05 g/cm3
* crystal system: tetragonal
* calculated total energy: -6.56 eV per atom
* total magnetization: 5.0 μB per cell



Entry 9:
KMn2CrNi | PBE | optimized geometry

Unit cell a=4.6507 b=5.2090 c=4.6507 alpha=90.00 beta=90.00 gamma=90.00
With the nearest neighbours (Å) after each atom.
Positions (direct):
Ni1 0.0000 0.0000 0.0000  4 Mn 2.33
K1 0.0000 0.5000 0.0000  2 Ni 2.60
Mn1 0.0000 0.0000 0.5000  2 Ni 2.33
Mn2 0.5000 0.0000 0.0000  2 Ni 2.33
Cr1 0.5000 0.5000 0.5000  4 K 3.29, 8 Mn 3.49

* formation energy: 169 kJ per mole of atoms
* DOS(E_F): 9.03 states/eV per cell
* density: 3.83 g/cm3
* crystal system: tetragonal
* calculated total energy: -5.22 eV per atom
* total magnetization: 9.4 μB per cell